DFT (PBE) results for a geometry-optimized PrMg4Tl5 structure.

Calculated values
Formation energy from the elements (meV per atom): -108.8

```
10
Lattice="3.710 0.000 0.000 0.000 3.710 0.000 0.000 0.000 18.664" Properties=species:S:1:pos:R:3 pbc="T T T"
Mg 0.000 0.000 14.748
Tl 1.855 1.855 9.332
Tl 1.855 1.855 5.715
Pr 0.000 0.000 0.000
Mg 0.000 0.000 11.156
Tl 1.855 1.855 16.496
Mg 0.000 0.000 3.915
Tl 1.855 1.855 12.949
Tl 1.855 1.855 2.168
Mg 0.000 0.000 7.507
```